Record 1
Material: Li2CuNi
Method: DFT, meta-GGA SCAN
State: single point on PBEsol structure

Its polymorph energy (0 for the lowest one) is 125 meV/atom. The value obtained for the total energy is -0.327 hartree per atom. The calculated formation energy comes out at 0.133 eV/atom.

Structure (CIF):
```
data_Li2CuNi
_chemical_formula_sum 'Li2 Cu1 Ni1'
_space_group_name_H-M_alt 'P 4/m m m'
_space_group_IT_number 123
_space_group_name_Hall '-P 4 2'
_cell_length_a 2.9310
_cell_length_b 2.9310
_cell_length_c 5.2355
_cell_angle_alpha 90.00
_cell_angle_beta 90.00
_cell_angle_gamma 90.00
loop_
_atom_site_label
_atom_site_type_symbol
_atom_site_fract_x
_atom_site_fract_y
_atom_site_fract_z
Li1 Li 0.0000 0.0000 0.2429
Cu1 Cu 0.5000 0.5000 0.5000
Ni1 Ni 0.5000 0.5000 0.0000
```

Record 2
Material: Mg2ScTc
Method: DFT, meta-GGA SCAN
State: single point on PBEsol structure

Its polymorph energy (0 for the lowest one) is 78 meV/atom. The value obtained for the total energy is -0.541 hartree per atom. The calculated formation energy comes out at 0.080 eV/atom.

Structure (CIF):
```
data_Mg2ScTc
_chemical_formula_sum 'Mg4 Sc2 Tc2'
_space_group_name_H-M_alt 'I -4 m 2'
_space_group_IT_number 119
_space_group_name_Hall 'I -4 -2'
_cell_length_a 4.6710
_cell_length_b 4.6710
_cell_length_c 6.5970
_cell_angle_alpha 90.00
_cell_angle_beta 90.00
_cell_angle_gamma 90.00
loop_
_atom_site_label
_atom_site_type_symbol
_atom_site_fract_x
_atom_site_fract_y
_atom_site_fract_z
Mg1 Mg 0.0000 0.0000 0.0000
Mg2 Mg 0.0000 0.5000 0.2500
Sc1 Sc 0.0000 0.0000 0.5000
Tc1 Tc 0.0000 0.5000 0.7500
```

Record 3
Material: NaNi2OsAu
Method: DFT, meta-GGA SCAN
State: single point on PBEsol structure

The value obtained for the total energy is -1.252 hartree per atom. The calculated formation energy comes out at 1.445 eV/atom.

Structure (CIF):
```
data_NaNi2OsAu
_chemical_formula_sum 'Na1 Ni2 Os1 Au1'
_space_group_name_H-M_alt 'P 4/m m m'
_space_group_IT_number 123
_space_group_name_Hall '-P 4 2'
_cell_length_a 4.4223
_cell_length_b 4.4223
_cell_length_c 5.0935
_cell_angle_alpha 90.00
_cell_angle_beta 90.00
_cell_angle_gamma 90.00
loop_
_atom_site_label
_atom_site_type_symbol
_atom_site_fract_x
_atom_site_fract_y
_atom_site_fract_z
Na1 Na 0.0000 0.0000 0.0000
Ni1 Ni 0.0000 0.5000 0.5000
Os1 Os 0.0000 0.0000 0.5000
Au1 Au 0.5000 0.5000 0.0000
```

Record 4
Material: V6O11F
Method: DFT, meta-GGA SCAN
State: single point on PBEsol structure

Its polymorph energy (0 for the lowest one) is 6 meV/atom. The raw formation energy is -2.705 eV per atom. The value obtained for the total energy is -0.461 hartree per atom.

Structure (CIF):
```
data_V6O11F
_chemical_formula_sum 'V12 O22 F2'
_space_group_name_H-M_alt 'C 1 m 1'
_space_group_IT_number 8
_cell_length_a 8.6251
_cell_length_b 6.3780
_cell_length_c 7.0855
_cell_angle_alpha 90.00
_cell_angle_beta 115.14
_cell_angle_gamma 90.00
loop_
_space_group_symop_operation_xyz
'x,y,z'
'x,-y,z'
'x+1/2,y+1/2,z'
'x+1/2,-y+1/2,z'
loop_
_atom_site_label
_atom_site_type_symbol
_atom_site_fract_x
_atom_site_fract_y
_atom_site_fract_z
V1 V 0.0000 0.0000 0.0000
V2 V 0.0011 0.0000 0.5297
V3 V 0.1667 0.5000 0.6904
V4 V 0.1775 0.5000 0.1818
V5 V 0.3396 0.0000 0.8545
V6 V 0.3621 0.0000 0.3533
O1 O 0.0094 0.2990 0.0205
O2 O 0.0793 0.5000 0.3860
O3 O 0.1739 0.2008 0.6888
O4 O 0.2396 0.0000 0.0608
O5 O 0.2769 0.5000 0.9894
O6 O 0.3457 0.2983 0.3531
O7 O 0.4082 0.5000 0.7181
O8 O 0.4377 0.0000 0.6514
F1 F 0.1108 0.0000 0.3212
```

Per-record D(E_F), states/eV/f.u.: 1.2, 1.5, 5.1, 5.5